TbDyEr2 | PBE | optimized geometry

Structure (POSCAR):
```
TbDyEr2
1.0
1.761 1.017 11.466
-1.761 1.017 11.466
0.000 -2.033 11.466
Tb Dy Er
1 1 2
Direct
0.000 0.000 0.000 Tb
0.500 0.500 0.500 Dy
0.250 0.250 0.250 Er
0.750 0.750 0.750 Er
```

Calculated values
energy of formation from the pure elements = 20.1 meV/atom
M_tot = 0.0 μB/cell
energy above the lowest structure with this stoichiometry = 0.015 eV per atom
space group = R-3m (166)

TbDy4Er | PBE | optimized geometry

Structure (POSCAR):
```
TbDy4Er
1.0
3.534 0.000 0.000
1.764 5.849 0.000
1.755 1.588 9.028
Tb Dy Er
1 4 1
Direct
0.000 0.000 0.000 Tb
0.333 0.999 0.334 Dy
0.334 0.500 0.832 Dy
0.666 0.500 0.168 Dy
0.667 0.001 0.666 Dy
0.000 0.500 0.500 Er
```

Calculated values
energy of formation from the pure elements = 15.8 meV/atom
M_tot = 0.0 μB/cell
energy above the lowest structure with this stoichiometry = 0.000 eV per atom
space group = P-1 (2)

Tb6Dy4Er | PBE | optimized geometry

Structure (POSCAR):
```
Tb6Dy4Er
1.0
2.858 -4.783 0.000
2.858 4.783 0.000
0.000 0.000 25.451
Tb Dy Er
12 8 2
Direct
0.000 0.000 0.000 Tb
0.000 0.000 0.500 Tb
0.037 0.963 0.750 Tb
0.301 0.699 0.105 Tb
0.301 0.699 0.395 Tb
0.369 0.631 0.682 Tb
0.369 0.631 0.818 Tb
0.631 0.369 0.182 Tb
0.631 0.369 0.318 Tb
0.699 0.301 0.605 Tb
0.699 0.301 0.895 Tb
0.963 0.037 0.250 Tb
0.040 0.960 0.622 Dy
0.040 0.960 0.878 Dy
0.348 0.652 0.543 Dy
0.348 0.652 0.957 Dy
0.652 0.348 0.043 Dy
0.652 0.348 0.457 Dy
0.960 0.040 0.122 Dy
0.960 0.040 0.378 Dy
0.299 0.701 0.250 Er
0.701 0.299 0.750 Er
```

Calculated values
energy of formation from the pure elements = 128.5 meV/atom
M_tot = 0.0 μB/cell
energy above the lowest structure with this stoichiometry = 0.000 eV per atom
space group = Cmcm (63)

Tb2DyEr5 | PBE | optimized geometry

Structure (POSCAR):
```
Tb2DyEr5
1.0
7.034 0.000 0.000
0.000 14.068 0.000
0.000 0.000 4.968
Tb Dy Er
4 2 10
Direct
0.250 0.125 0.000 Tb
0.250 0.625 0.000 Tb
0.750 0.375 0.000 Tb
0.750 0.875 0.000 Tb
0.000 0.000 0.500 Dy
0.500 0.500 0.500 Dy
0.000 0.250 0.500 Er
0.000 0.500 0.500 Er
0.000 0.750 0.500 Er
0.250 0.375 0.000 Er
0.250 0.875 0.000 Er
0.500 0.000 0.500 Er
0.500 0.250 0.500 Er
0.500 0.750 0.500 Er
0.750 0.125 0.000 Er
0.750 0.625 0.000 Er
```

Calculated values
energy of formation from the pure elements = 17.4 meV/atom
M_tot = 0.0 μB/cell
energy above the lowest structure with this stoichiometry = 0.000 eV per atom
space group = Pbam (55)

Tb5Dy12Er | PBE | optimized geometry

Structure (POSCAR):
```
Tb5Dy12Er
1.0
5.529 -8.667 0.000
5.529 8.667 0.000
-0.003 0.000 5.939
Tb Dy Er
5 12 1
Direct
0.000 0.000 0.000 Tb
0.166 0.834 0.500 Tb
0.334 0.666 0.000 Tb
0.666 0.334 0.000 Tb
0.834 0.166 0.500 Tb
0.007 0.340 0.046 Dy
0.161 0.493 0.546 Dy
0.174 0.174 0.452 Dy
0.327 0.327 0.952 Dy
0.340 0.007 0.046 Dy
0.493 0.161 0.546 Dy
0.507 0.839 0.454 Dy
0.660 0.993 0.954 Dy
0.673 0.673 0.048 Dy
0.826 0.826 0.548 Dy
0.839 0.507 0.454 Dy
0.993 0.660 0.954 Dy
0.500 0.500 0.500 Er
```

Calculated values
energy of formation from the pure elements = 121.6 meV/atom
M_tot = 0.0 μB/cell
space group = C2/m (12)

Tb7Dy5Er | PBE | optimized geometry

Structure (POSCAR):
```
Tb7Dy5Er
1.0
-3.322 5.557 5.754
3.322 -5.557 5.754
3.322 5.557 -5.754
Tb Dy Er
7 5 1
Direct
0.000 0.000 0.000 Tb
0.000 0.500 0.500 Tb
0.080 0.751 0.329 Tb
0.307 0.307 0.000 Tb
0.423 0.751 0.671 Tb
0.580 0.251 0.329 Tb
0.922 0.251 0.671 Tb
0.274 0.270 0.540 Dy
0.274 0.734 0.004 Dy
0.500 0.000 0.500 Dy
0.730 0.270 0.996 Dy
0.730 0.734 0.460 Dy
0.693 0.693 0.000 Er
```

Calculated values
energy of formation from the pure elements = 255.4 meV/atom
M_tot = 0.0 μB/cell
space group = Imm2 (44)